Record 1
Computed, not measured: a relaxed structure of Zr2ScFe at the PBE level of DFT.

a = 6.7006 Å, b = 6.7006 Å, c = 6.7006 Å
α = 90.00°, β = 90.00°, γ = 90.00°
Space group Fm-3m (No. 225)
One atom of each set of equivalent atoms:
Zr 0.2500 0.2500 0.2500
Sc 0.0000 0.0000 0.0000
Fe 0.0000 0.0000 0.5000

Values from the calculation:
raw total energy = -7.815 eV per atom
total magnetization = 0.000 μB per atom

Record 2
Computed, not measured: a relaxed structure of Ti3In at the PBE level of DFT.

a = 2.9588 Å, b = 4.8163 Å, c = 5.1482 Å
α = 90.00°, β = 90.00°, γ = 90.00°
Space group Pmm2 (No. 25)
One atom of each set of equivalent atoms:
Ti 0.0000 0.0000 0.0000
Ti 0.0000 0.5000 0.3251
Ti 0.5000 0.0000 0.4687
In 0.5000 0.5000 0.8187

Values from the calculation:
raw total energy = -6.654 eV per atom
total magnetization = 0.000 μB per atom

Record 3
Computed, not measured: a relaxed structure of La4GeRuBr2 at the PBE level of DFT.

a = 7.6041 Å, b = 4.2621 Å, c = 8.0341 Å
α = 90.00°, β = 106.84°, γ = 90.00°
Space group P2/m (No. 10)
One atom of each set of equivalent atoms:
La 0.2243 0.0000 0.2029
La 0.2409 0.5000 0.8027
Ge 0.5000 0.0000 0.0000
Ru 0.0000 0.5000 0.0000
Br 0.0000 0.0000 0.5000
Br 0.5000 0.5000 0.5000

Values from the calculation:
energy relative to the elements, uncorrected = -1.07 eV/atom
total magnetization = 0.000 μB per atom

Record 4
Computed, not measured: a relaxed structure of Nd2HCl at the PBE level of DFT.

a = 3.6914 Å, b = 3.6914 Å, c = 21.6641 Å
α = 90.00°, β = 90.00°, γ = 120.00°
Space group R-3m (No. 166, hexagonal axes)
One atom of each set of equivalent atoms:
Nd 0.0000 0.0000 0.2327
H 0.0000 0.0000 0.5000
Cl 0.0000 0.0000 0.0000

Values from the calculation:
raw total energy = -4.593 eV per atom
total magnetization = 0.000 μB per atom

Record 5
Computed, not measured: a relaxed structure of BaPuTc2O8 at the PBE level of DFT.

a = 5.9697 Å, b = 5.9697 Å, c = 7.5966 Å
α = 90.00°, β = 90.00°, γ = 120.00°
Space group P-3 (No. 147)
One atom of each set of equivalent atoms:
Ba 0.0000 0.0000 0.0000
Pu 0.0000 0.0000 0.5000
Tc 0.3333 0.6667 0.7733
O 0.1619 0.3285 0.6971
O 0.3333 0.6667 0.0072

Values from the calculation:
energy relative to the elements, uncorrected = -1.98 eV/atom
total magnetization = 0.671 μB per atom

Record 6
Computed, not measured: a relaxed structure of Zn3PBr3 at the PBE level of DFT.

a = 6.7018 Å, b = 4.0644 Å, c = 7.0388 Å
α = 90.00°, β = 90.19°, γ = 90.00°
Space group Pm (No. 6)
One atom of each set of equivalent atoms:
Zn 0.0000 0.0000 0.0000
Zn 0.0406 0.5000 0.4224
Zn 0.5599 0.5000 0.1586
P 0.9019 0.5000 0.1229
Br 0.3983 0.0000 0.9847
Br 0.4042 0.5000 0.4740
Br 0.9292 0.0000 0.6275

Values from the calculation:
energy relative to the elements, uncorrected = -0.65 eV/atom
total magnetization = 0.000 μB per atom

Record 7
Computed, not measured: a relaxed structure of Mg3Cd2Ag5 at the PBE level of DFT.

a = 10.8946 Å, b = 13.9760 Å, c = 5.5614 Å
α = 90.00°, β = 90.00°, γ = 90.00°
Space group Ibam (No. 72)
One atom of each set of equivalent atoms:
Mg 0.0000 0.0000 0.2500
Mg 0.1227 0.3510 0.0000
Cd 0.1085 0.2169 0.5000
Ag 0.0000 0.5000 0.2500
Ag 0.1529 0.1586 0.0000
Ag 0.2477 0.0000 0.2500

Values from the calculation:
raw total energy = -2.067 eV per atom
total magnetization = 0.000 μB per atom

Record 8
Computed, not measured: a relaxed structure of Dy2RuI at the PBE level of DFT.

a = 4.0413 Å, b = 4.0413 Å, c = 23.8518 Å
α = 90.00°, β = 90.00°, γ = 120.00°
Space group R3m (No. 160, hexagonal axes)
One atom of each set of equivalent atoms:
Dy 0.0000 0.0000 0.0000
Dy 0.0000 0.0000 0.2119
Ru 0.0000 0.0000 0.6063
I 0.0000 0.0000 0.7733

Values from the calculation:
energy relative to the elements, uncorrected = -0.60 eV/atom
total magnetization = 0.000 μB per atom